(1)
Here is HfB3Te after structural relaxation from Alexandria via LeMat-Bulk. Energies are from PBE.

Results
relative energy among the computed polymorphs = 1.220 eV per formula unit
energy = -4.663 eV/atom
calculated density = 6.95 g cm⁻³
crystal system = cubic
SG = Pm-3m, No. 221
formation energy from raw total energies = 189 kJ per mole of atoms

Cell: 4.3249 4.3249 4.3249 Å, 90.00 90.00 90.00°
Last column: nearest neighbours and their distance in Å.
Fractional positions:
Hf 0.0000 0.0000 0.0000  12 B 3.06
B 0.0000 0.5000 0.5000  2 Te 2.16
B 0.5000 0.0000 0.5000  2 Te 2.16
B 0.5000 0.5000 0.0000  2 Te 2.16
Te 0.5000 0.5000 0.5000  6 B 2.16

***

(2)
Here is Fe2AsC after structural relaxation from Alexandria via LeMat-Bulk. Energies are from PBE.

Results
DFT formation energy = 377 meV/atom
energy = -7.323 eV/atom
calculated density = 6.32 g cm⁻³
crystal system = tetragonal
SG = I-42d, No. 122

Cell: 5.6384 5.6384 5.6384 Å, 129.38 129.38 74.39°
Last column: nearest neighbours and their distance in Å.
Fractional positions:
Fe 0.0410 0.6250 0.9160  2 C 1.83
Fe 0.3750 0.2910 0.4160  2 C 1.83
Fe 0.7090 0.1250 0.0840  2 C 1.83
Fe 0.8750 0.9590 0.5840  2 C 1.83
As 0.2500 0.7500 0.5000  4 Fe 2.30
As 0.5000 0.5000 0.0000  4 Fe 2.30
C 0.0000 0.0000 0.0000  4 Fe 1.83
C 0.7500 0.2500 0.5000  4 Fe 1.83

***

Repeat the first record exactly.
Here is HfB3Te after structural relaxation from Alexandria via LeMat-Bulk. Energies are from PBE.

Results
relative energy among the computed polymorphs = 1.220 eV per formula unit
energy = -4.663 eV/atom
calculated density = 6.95 g cm⁻³
crystal system = cubic
SG = Pm-3m, No. 221
formation energy from raw total energies = 189 kJ per mole of atoms

Cell: 4.3249 4.3249 4.3249 Å, 90.00 90.00 90.00°
Last column: nearest neighbours and their distance in Å.
Fractional positions:
Hf 0.0000 0.0000 0.0000  12 B 3.06
B 0.0000 0.5000 0.5000  2 Te 2.16
B 0.5000 0.0000 0.5000  2 Te 2.16
B 0.5000 0.5000 0.0000  2 Te 2.16
Te 0.5000 0.5000 0.5000  6 B 2.16